Entry from Alexandria: KOs2Pd after structural relaxation (PBE).

- Density of states at the Fermi level: 7.00 states/eV/cell
- Distance to the lowest polymorph of the same formula: 2.55 eV per formula unit

POSCAR file:
```
KOs2Pd
1.0
0.000 3.248 3.248
3.248 0.000 3.248
3.248 3.248 0.000
K Os Pd
1 2 1
Direct
0.000 0.000 0.000
0.250 0.250 0.250
0.750 0.750 0.750
0.500 0.500 0.500
```


Entry from Alexandria: Sr2Li2AcSn2 after structural relaxation (PBE).

- Density of states at the Fermi level: 2.18 states/eV/cell
- Electronic total energy: -22.8 eV per cell

POSCAR file:
```
Sr2Li2AcSn2
1.0
2.493 1.439 10.585
-2.493 1.439 10.585
0.000 -2.878 10.585
Sr Li Ac Sn
2 2 1 2
Direct
0.125 0.125 0.125
0.875 0.875 0.875
0.399 0.399 0.399
0.601 0.601 0.601
0.000 0.000 0.000
0.267 0.267 0.267
0.733 0.733 0.733
```


Entry from Alexandria: TlCu2O3 after structural relaxation (PBE).

- Density of states at the Fermi level: 8.57 states/eV/cell
- ΔE_f (raw): -1.9 eV/f.u.

POSCAR file:
```
TlCu2O3
1.0
3.289 -4.892 0.000
3.289 4.892 0.000
0.000 0.000 5.105
Tl Cu O
2 4 6
Direct
0.201 0.799 0.750
0.799 0.201 0.250
0.288 0.288 0.000
0.288 0.288 0.500
0.712 0.712 0.000
0.712 0.712 0.500
0.110 0.381 0.750
0.381 0.110 0.250
0.409 0.591 0.250
0.591 0.409 0.750
0.619 0.890 0.750
0.890 0.619 0.250
```


Entry from Alexandria: InHS6 after structural relaxation (PBE).

- Density of states at the Fermi level: 0.97 states/eV/cell
- Electronic total energy: -30.0 eV per cell

POSCAR file:
```
InHS6
1.0
6.040 0.000 0.000
-1.851 5.833 0.000
-1.573 -1.580 5.842
In H S
1 1 6
Direct
0.000 0.000 0.000
0.000 0.000 0.500
0.188 0.578 0.566
0.221 0.048 0.384
0.258 0.680 0.898
0.742 0.320 0.102
0.779 0.952 0.616
0.812 0.422 0.434
```


Repeat the second record exactly.
Entry from Alexandria: Sr2Li2AcSn2 after structural relaxation (PBE).

- Density of states at the Fermi level: 2.18 states/eV/cell
- Electronic total energy: -22.8 eV per cell

POSCAR file:
```
Sr2Li2AcSn2
1.0
2.493 1.439 10.585
-2.493 1.439 10.585
0.000 -2.878 10.585
Sr Li Ac Sn
2 2 1 2
Direct
0.125 0.125 0.125
0.875 0.875 0.875
0.399 0.399 0.399
0.601 0.601 0.601
0.000 0.000 0.000
0.267 0.267 0.267
0.733 0.733 0.733
```


> Which formula does entry 2 have?

Sr2Li2AcSn2


> Which formula does entry 2 have?

Sr2Li2AcSn2